No. 1
Material: SrMg2Cu2
Method: DFT, PBE
State: relaxed

Output
ΔH_f (0 K): 0.006 eV/atom
D(E_F): 3.0 states/eV/f.u.
Offset from the most stable computed form: 0.105 eV per atom
Crystal system: tetragonal
V: 117 Å³ per cell
Symmetry: I4/mmm (139)

Structure (POSCAR):
```
SrMg2Cu2
1.0
-2.396 2.396 5.075
2.396 -2.396 5.075
2.396 2.396 -5.075
Sr Mg Cu
1 2 2
direct
0.000 0.000 0.000
0.352 0.352 0.000
0.648 0.648 0.000
0.250 0.750 0.500
0.750 0.250 0.500
```

=====

No. 2
Material: Cs2Ba2Na
Method: DFT, PBE
State: relaxed

Output
ΔH_f (0 K): 0.207 eV/atom
D(E_F): 8.0 states/eV/f.u.
Offset from the most stable computed form: 0.000 eV per atom
Crystal system: tetragonal
V: 796 Å³ per cell
Symmetry: P4/mbm (127)

Structure (POSCAR):
```
Cs2Ba2Na
1.0
9.997 0.000 0.000
0.000 9.997 0.000
0.000 0.000 7.968
Cs Ba Na
4 4 2
direct
0.173 0.327 0.000
0.327 0.827 0.000
0.673 0.173 0.000
0.827 0.673 0.000
0.153 0.653 0.500
0.347 0.153 0.500
0.653 0.847 0.500
0.847 0.347 0.500
0.000 0.000 0.500
0.500 0.500 0.500
```

=====

No. 3
Material: YAgIr2
Method: DFT, PBE
State: relaxed

Output
ΔH_f (0 K): -0.136 eV/atom
D(E_F): 1.5 states/eV/f.u.
Offset from the most stable computed form: 0.086 eV per atom
Crystal system: monoclinic
V: 72 Å³ per cell
Symmetry: Cm (8)

Structure (POSCAR):
```
YAgIr2
1.0
5.329 -1.529 0.000
5.329 1.529 0.000
-2.212 0.000 4.426
Y Ag Ir
1 1 2
direct
0.000 0.000 0.000
0.776 0.776 0.386
0.240 0.240 0.872
0.528 0.528 0.510
```

=====

No. 4
Material: NbAsPb2
Method: DFT, PBE
State: relaxed

Output
ΔH_f (0 K): 0.938 eV/atom
D(E_F): 9.5 states/eV/f.u.
Crystal system: tetragonal
V: 277 Å³ per cell
Symmetry: I-42d (122)

Structure (POSCAR):
```
NbAsPb2
1.0
-3.300 3.300 6.360
3.300 -3.300 6.360
3.300 3.300 -6.360
Nb As Pb
2 2 4
direct
0.000 0.000 0.000
0.750 0.250 0.500
0.250 0.750 0.500
0.500 0.500 0.000
0.126 0.625 0.001
0.375 0.376 0.501
0.624 0.125 0.999
0.875 0.874 0.499
```

=====

No. 5
Material: MnFeSi2
Method: DFT, PBE
State: relaxed

Output
D(E_F): 2.1 states/eV/f.u.
Crystal system: tetragonal
Energy relative to the elements, uncorrected: -268 meV/atom
V: 46 Å³ per cell
Symmetry: I-4m2 (119)

Structure (POSCAR):
```
MnFeSi2
1.0
-1.733 1.733 3.817
1.733 -1.733 3.817
1.733 1.733 -3.817
Mn Fe Si
1 1 2
direct
0.000 0.000 0.000
0.750 0.250 0.500
0.250 0.750 0.500
0.500 0.500 0.000
```

=====

No. 6
Material: Ti6SiPd12
Method: DFT, PBE
State: relaxed

Output
D(E_F): 15.5 states/eV/f.u.
Crystal system: trigonal
Energy relative to the elements, uncorrected: -528 meV/atom
V: 299 Å³ per cell
Symmetry: R-3 (148)

Structure (POSCAR):
```
Ti6SiPd12
1.0
4.759 2.747 3.811
-4.759 2.747 3.811
0.000 -5.495 3.811
Ti Si Pd
6 1 12
direct
0.209 0.764 0.381
0.236 0.619 0.791
0.381 0.209 0.764
0.619 0.791 0.236
0.764 0.381 0.209
0.791 0.236 0.619
0.500 0.500 0.500
0.038 0.297 0.941
0.059 0.962 0.703
0.143 0.359 0.482
0.297 0.941 0.038
0.359 0.482 0.143
0.482 0.143 0.359
0.518 0.857 0.641
0.641 0.518 0.857
0.703 0.059 0.962
0.857 0.641 0.518
0.941 0.038 0.297
0.962 0.703 0.059
```

=====

No. 7
Material: LaY3Tl
Method: DFT, PBE
State: relaxed

Output
ΔH_f (0 K): 0.296 eV/atom
D(E_F): 10.8 states/eV/f.u.
Offset from the most stable computed form: 0.442 eV per atom
Crystal system: cubic
V: 193 Å³ per cell
Symmetry: Pm-3m (221)

Structure (POSCAR):
```
LaY3Tl
1.0
5.781 0.000 0.000
0.000 5.781 0.000
0.000 0.000 5.781
La Y Tl
1 3 1
direct
0.000 0.000 0.000
0.000 0.500 0.500
0.500 0.000 0.500
0.500 0.500 0.000
0.500 0.500 0.500
```

=====

No. 8
Material: K2Al2Cl
Method: DFT, PBE
State: relaxed

Output
D(E_F): 1.2 states/eV/f.u.
Offset from the most stable computed form: 0.000 eV per atom
Crystal system: tetragonal
Energy relative to the elements, uncorrected: -578 meV/atom
V: 149 Å³ per cell
Symmetry: I4/mmm (139)

Structure (POSCAR):
```
K2Al2Cl
1.0
-1.928 1.928 9.986
1.928 -1.928 9.986
1.928 1.928 -9.986
K Al Cl
2 2 1
direct
0.093 0.093 0.000
0.907 0.907 0.000
0.250 0.750 0.500
0.750 0.250 0.500
0.500 0.500 0.000
```

=====

No. 9
Material: CsIn2Hg2
Method: DFT, PBE
State: relaxed

Output
ΔH_f (0 K): -0.118 eV/atom
D(E_F): 2.0 states/eV/f.u.
Offset from the most stable computed form: 0.021 eV per atom
Crystal system: tetragonal
V: 169 Å³ per cell
Symmetry: P4/mmm (123)

Structure (POSCAR):
```
CsIn2Hg2
1.0
4.818 0.000 0.000
0.000 4.818 0.000
0.000 0.000 7.261
Cs In Hg
1 2 2
direct
0.000 0.000 0.000
0.000 0.500 0.500
0.500 0.000 0.500
0.500 0.500 0.218
0.500 0.500 0.782
```

=====

No. 10
Material: NbCrW
Method: DFT, PBE
State: relaxed

Output
ΔH_f (0 K): 0.046 eV/atom
D(E_F): 1.6 states/eV/f.u.
Offset from the most stable computed form: 0.024 eV per atom
Crystal system: monoclinic
V: 92 Å³ per cell
Symmetry: Cm (8)

Structure (POSCAR):
```
NbCrW
1.0
4.710 -2.200 0.000
4.710 2.200 0.000
-3.147 0.000 4.453
Nb Cr W
2 2 2
direct
0.000 0.000 0.000
0.679 0.679 0.009
0.007 0.007 0.506
0.337 0.337 0.000
0.340 0.340 0.503
0.663 0.663 0.495
```

=====

No. 11
Material: Pm5Nd2ErTh
Method: DFT, PBE
State: relaxed

Output
ΔH_f (0 K): 0.147 eV/atom
D(E_F): 13.3 states/eV/f.u.
Crystal system: orthorhombic
V: 624 Å³ per cell
Symmetry: Cmc2_1 (36)

Structure (POSCAR):
```
Pm5Nd2ErTh
1.0
2.849 -10.327 0.000
2.849 10.327 0.000
0.000 0.000 10.611
Pm Nd Er Th
10 4 2 2
direct
0.014 0.986 0.500
0.275 0.725 0.797
0.294 0.706 0.187
0.385 0.615 0.507
0.483 0.517 0.227
0.517 0.483 0.727
0.615 0.385 0.007
0.706 0.294 0.687
0.725 0.275 0.297
0.986 0.014 0.000
0.115 0.885 0.216
0.115 0.885 0.796
0.885 0.115 0.296
0.885 0.115 0.716
0.405 0.595 0.943
0.595 0.405 0.443
0.198 0.802 0.494
0.802 0.198 0.994
```

=====

No. 12
Material: ScNb2CuRu
Method: DFT, PBE
State: relaxed

Output
ΔH_f (0 K): 0.844 eV/atom
D(E_F): 6.4 states/eV/f.u.
Crystal system: tetragonal
V: 112 Å³ per cell
Symmetry: P4/mmm (123)

Structure (POSCAR):
```
ScNb2CuRu
1.0
4.773 0.000 0.000
0.000 4.773 0.000
0.000 0.000 4.911
Sc Nb Cu Ru
1 2 1 1
direct
0.000 0.000 0.000
0.000 0.500 0.500
0.500 0.000 0.500
0.500 0.500 0.000
0.000 0.000 0.500
```